Record 1
A relaxed structure of GaBi2O, computed with PBEsol.

Output
* energy relative to the elements, uncorrected: 0.11 eV per formula unit
* total magnetic moment: 0.000 μB per atom
* ΔE to the lowest computed polymorph: 0.198 eV/atom

Cell and atoms, written as extended XYZ:
```
4
Lattice="0.000 3.397 3.397 3.397 0.000 3.397 3.397 3.397 0.000" Properties=species:S:1:pos:R:3 pbc="T T T"
Ga 0.000 0.000 0.000
Bi 1.698 1.698 1.698
Bi 5.095 5.095 5.095
O 3.397 3.397 3.397
```

Record 2
A relaxed structure of K2NaMoCl6, computed with PBEsol.

Output
* energy relative to the elements, uncorrected: -14.62 eV per formula unit
* total magnetic moment: 0.300 μB per atom

Cell and atoms, written as extended XYZ:
```
10
Lattice="0.000 5.071 5.071 5.071 0.000 5.071 5.071 5.071 0.000" Properties=species:S:1:pos:R:3 pbc="T T T"
K 2.536 2.536 2.536
K 7.607 7.607 7.607
Na 0.000 0.000 0.000
Mo 5.071 5.071 5.071
Cl 5.071 5.071 2.661
Cl 5.071 2.661 5.071
Cl 7.482 5.071 5.071
Cl 2.661 5.071 5.071
Cl 5.071 7.482 5.071
Cl 5.071 5.071 7.482
```

Record 3
A relaxed structure of BaCdAu, computed with PBEsol.

Output
* energy of formation from the pure elements: -48.8 kJ/mol of atoms
* total magnetic moment: 0.000 μB per atom

Cell and atoms, written as extended XYZ:
```
3
Lattice="4.854 0.000 0.000 -2.427 4.204 0.000 0.000 0.000 4.292" Properties=species:S:1:pos:R:3 pbc="T T T"
Ba 0.000 0.000 0.000
Cd 0.000 2.802 2.146
Au 2.427 1.401 2.146
```

- What is the formula in the first record?
  GaBi2O

- Look up the total magnetic moment of the second one.
  0.300 μB per atom

- The highest total magnetic moment belongs to which entry?
  K2NaMoCl6

Repeat the second record exactly.
A relaxed structure of K2NaMoCl6, computed with PBEsol.

Output
* energy relative to the elements, uncorrected: -14.62 eV per formula unit
* total magnetic moment: 0.300 μB per atom

Cell and atoms, written as extended XYZ:
```
10
Lattice="0.000 5.071 5.071 5.071 0.000 5.071 5.071 5.071 0.000" Properties=species:S:1:pos:R:3 pbc="T T T"
K 2.536 2.536 2.536
K 7.607 7.607 7.607
Na 0.000 0.000 0.000
Mo 5.071 5.071 5.071
Cl 5.071 5.071 2.661
Cl 5.071 2.661 5.071
Cl 7.482 5.071 5.071
Cl 2.661 5.071 5.071
Cl 5.071 7.482 5.071
Cl 5.071 5.071 7.482
```